K2TlO after structural relaxation, computed with PBE.

Lattice parameters (Å, degrees): 3.8043 3.8043 10.8610 79.91 79.91 60.00
Last column: magnetic moment on the atom in μB.
Atoms (fractional coordinates):
K (0.8766, 0.8766, 0.3702)  0.00
K (0.1234, 0.1234, 0.6298)  0.00
O (0.5000, 0.5000, 0.5000)  0.21
Tl (0.0000, 0.0000, 0.0000)  0.01

Calculated values
**Total moment**: 0.29 μB/f.u.
**Total energy**: -12.0 eV for the cell shown
**Energy above the lowest structure with this stoichiometry**: 0.000 eV per atom
**Energy relative to the elements, uncorrected**: -0.6140 eV per atom